YCoSe2: relaxed, PBE-GGA.

extended XYZ file:
```
4
Lattice="3.451 0.000 0.000 0.000 3.451 0.000 0.000 0.000 6.662" Properties=species:S:1:pos:R:3 pbc="T T T"
Co 1.726 1.726 4.996
Se 0.000 0.000 6.582
Se 0.000 0.000 3.411
Y 1.726 1.726 1.665
```

Computed properties:
E_tot, eV per atom: -5.6412
Formation energy from raw total energies, meV per atom: -506
Calculated volume, Å³ per cell: 79.3

---

Ba2NaCaCu: relaxed, PBE-GGA.

extended XYZ file:
```
5
Lattice="-5.355 3.340 0.007 -0.346 -0.567 6.276 3.028 4.855 0.605" Properties=species:S:1:pos:R:3 pbc="T T T"
Na 1.514 2.428 0.303
Ca -1.336 3.814 3.444
Ba -0.173 -0.283 3.138
Ba -2.678 1.670 0.003
Cu 0.000 0.000 0.000
```

Computed properties:
E_tot, eV per atom: -2.1393
Calculated volume, Å³ per cell: 229.2
Formation energy from the elements, kJ per mole of atoms: 10.9
Excess energy over the best structure of this formula in the dataset, meV/atom: 102

---

TiAlCl2: relaxed, PBE-GGA.

extended XYZ file:
```
4
Lattice="-1.411 -4.406 -0.609 -4.191 -1.344 1.553 -3.415 -0.958 -3.033" Properties=species:S:1:pos:R:3 pbc="T T T"
Cl -2.254 -1.677 -0.522
Cl -6.762 -5.032 -1.567
Al 0.000 0.000 0.000
Ti -4.508 -3.354 -1.045
```

Computed properties:
E_tot, eV per atom: -3.9376
Formation energy from raw total energies, meV per atom: -105
Calculated volume, Å³ per cell: 71.9
Excess energy over the best structure of this formula in the dataset, meV/atom: 659

---

BaAg3Ir: relaxed, PBE-GGA.

extended XYZ file:
```
5
Lattice="-1.683 -4.683 1.433 1.819 -2.005 -4.414 4.547 -0.931 2.297" Properties=species:S:1:pos:R:3 pbc="T T T"
Ir 0.000 0.000 0.000
Ba 2.342 -3.809 -0.342
Ag 0.910 -1.002 -2.207
Ag 2.273 -0.466 1.148
Ag -0.841 -2.341 0.716
```

Computed properties:
E_tot, eV per atom: -3.5531
Calculated volume, Å³ per cell: 138.8
Formation energy from the elements, kJ per mole of atoms: 30.3
Excess energy over the best structure of this formula in the dataset, meV/atom: 0

---

Rb2MnI6N: relaxed, PBE-GGA.

extended XYZ file:
```
10
Lattice="7.785 0.000 0.000 0.000 7.785 0.000 3.892 3.892 6.208" Properties=species:S:1:pos:R:3 pbc="T T T"
I 3.892 3.892 3.525
I 7.785 7.785 2.683
I 2.079 2.079 0.000
I 5.705 5.705 0.000
I 5.705 2.079 0.000
I 2.079 5.705 0.000
Mn 0.000 0.000 0.000
Rb 7.785 3.892 3.104
Rb 3.892 7.785 3.104
N 3.892 3.892 0.000
```

Computed properties:
E_tot, eV per atom: -3.1288
Formation energy from raw total energies, meV per atom: -256
Calculated volume, Å³ per cell: 376.2

---

SrGe3Ru: relaxed, PBE-GGA.

extended XYZ file:
```
5
Lattice="4.883 0.000 0.000 0.000 4.883 0.000 0.000 0.000 4.883" Properties=species:S:1:pos:R:3 pbc="T T T"
Ru 0.000 0.000 0.000
Ge 0.000 2.442 0.000
Ge 0.000 0.000 2.442
Ge 2.442 0.000 0.000
Sr 2.442 2.442 2.442
```

Computed properties:
E_tot, eV per atom: -5.0067
Calculated volume, Å³ per cell: 116.4
Formation energy from the elements, kJ per mole of atoms: -4.3

---

Sm5ErTl3: relaxed, PBE-GGA.

extended XYZ file:
```
18
Lattice="6.832 0.000 0.000 0.000 9.523 0.000 0.000 -4.761 8.243" Properties=species:S:1:pos:R:3 pbc="T T T"
Sm 0.000 4.761 2.747
Sm 3.416 0.000 5.495
Sm 0.000 0.000 5.495
Sm 3.416 4.761 2.747
Sm 5.124 3.158 5.468
Sm 5.124 7.919 2.775
Sm 5.124 3.205 0.000
Sm 1.708 1.604 2.775
Sm 1.708 -3.158 5.468
Sm 1.708 6.318 0.000
Er 0.000 0.000 0.000
Er 3.416 0.000 0.000
Tl 5.124 1.558 2.699
Tl 5.124 6.319 5.543
Tl 5.124 6.403 0.000
Tl 1.708 3.203 5.543
Tl 1.708 -1.558 2.699
Tl 1.708 3.120 0.000
```

Computed properties:
E_tot, eV per atom: -4.1792
Calculated volume, Å³ per cell: 536.3
Formation energy from the elements, kJ per mole of atoms: -25.2

---

PmMgAu: relaxed, PBE-GGA.

extended XYZ file:
```
9
Lattice="4.294 0.000 0.000 0.000 6.614 -3.819 0.000 0.000 7.637" Properties=species:S:1:pos:R:3 pbc="T T T"
Pm 2.147 2.730 1.576
Pm 2.147 0.000 4.485
Pm 2.147 3.884 -2.242
Mg 0.000 5.021 2.899
Mg 0.000 6.614 -1.980
Mg 0.000 1.593 -0.920
Au 0.000 2.205 3.818
Au 0.000 4.409 0.000
Au 2.147 6.614 -3.819
```

Computed properties:
E_tot, eV per atom: -3.8657
Calculated volume, Å³ per cell: 216.9
Formation energy from the elements, kJ per mole of atoms: -63.5
Excess energy over the best structure of this formula in the dataset, meV/atom: 0

---

Mg5B2Pd12: relaxed, PBE-GGA.

extended XYZ file:
```
19
Lattice="-4.229 -2.997 -2.526 7.162 -0.209 -5.163 -0.540 -4.249 5.944" Properties=species:S:1:pos:R:3 pbc="T T T"
Mg 2.197 -2.954 -0.173
Mg 1.929 -5.024 2.732
Mg -0.270 -2.124 2.972
Mg 0.466 -2.430 -4.477
Mg 0.197 -4.500 -1.572
B -2.883 -2.043 -1.722
B -1.346 -0.954 -0.804
Pd 0.227 -1.016 0.825
Pd 4.123 -4.219 1.326
Pd 2.052 -5.687 0.089
Pd 4.348 -2.098 -1.697
Pd 2.361 -3.507 -2.884
Pd -2.475 -4.663 3.095
Pd 4.869 -2.791 -4.840
Pd -1.954 -5.356 -0.048
Pd 0.033 -3.947 1.139
Pd -1.729 -3.235 -3.071
Pd 0.342 -1.766 -1.834
Pd 2.167 -6.438 -2.571
```

Computed properties:
E_tot, eV per atom: -4.7900
Calculated volume, Å³ per cell: 294.4
Formation energy from the elements, kJ per mole of atoms: -37.4

---

KVBr2: relaxed, PBE-GGA.

extended XYZ file:
```
4
Lattice="0.000 3.750 3.750 3.750 0.000 3.750 3.750 3.750 0.000" Properties=species:S:1:pos:R:3 pbc="T T T"
K 0.000 0.000 0.000
Br 1.875 1.875 1.875
Br 5.626 5.626 5.626
V 3.750 3.750 3.750
```

Computed properties:
E_tot, eV per atom: -3.7750
Formation energy from raw total energies, meV per atom: -385
Calculated volume, Å³ per cell: 105.5
Excess energy over the best structure of this formula in the dataset, meV/atom: 215

---

La2PrTm2: relaxed, PBE-GGA.

extended XYZ file:
```
5
Lattice="3.580 0.000 0.000 -1.790 8.772 0.051 0.000 1.852 5.443" Properties=species:S:1:pos:R:3 pbc="T T T"
La 1.790 5.405 1.198
La 0.000 5.219 4.297
Pr 1.790 0.000 0.000
Tm 1.790 8.159 3.296
Tm 0.000 2.465 2.198
```

Computed properties:
E_tot, eV per atom: -4.6587
Calculated volume, Å³ per cell: 170.6
Formation energy from the elements, kJ per mole of atoms: 5.5
Excess energy over the best structure of this formula in the dataset, meV/atom: 0

---

LiGaHgSb: relaxed, PBE-GGA.

extended XYZ file:
```
4
Lattice="5.046 0.000 0.000 2.523 4.370 0.000 2.523 1.457 4.120" Properties=species:S:1:pos:R:3 pbc="T T T"
Sb 5.046 2.913 2.060
Hg 0.000 0.000 0.000
Ga 2.523 1.457 1.030
Li 7.568 4.370 3.090
```

Computed properties:
E_tot, eV per atom: -2.4548
Formation energy from raw total energies, meV per atom: -114
Calculated volume, Å³ per cell: 90.8

---

SmSbRh2: relaxed, PBE-GGA.

extended XYZ file:
```
4
Lattice="3.673 0.000 0.000 0.000 4.583 0.000 0.000 0.000 4.583" Properties=species:S:1:pos:R:3 pbc="T T T"
Sb 1.836 0.000 0.000
Rh 0.000 0.000 2.292
Rh 0.000 2.292 0.000
Sm 1.836 2.292 2.292
```

Computed properties:
E_tot, eV per atom: -6.5212
Formation energy from raw total energies, meV per atom: -635
Calculated volume, Å³ per cell: 77.1

---

Nd2Ga5Rh: relaxed, PBE-GGA.

extended XYZ file:
```
8
Lattice="-4.088 -4.259 2.191 4.258 -1.497 -4.390 4.770 2.090 3.539" Properties=species:S:1:pos:R:3 pbc="T T T"
Nd 2.525 -0.941 2.659
Nd 2.269 -2.735 -1.306
Ga 4.618 -1.414 0.341
Ga 4.325 -0.481 -2.124
Ga 4.545 1.063 1.288
Ga 0.164 -2.263 1.013
Ga 2.443 0.160 -0.230
Rh 0.026 0.002 -0.002
```

Computed properties:
E_tot, eV per atom: -4.5618
Calculated volume, Å³ per cell: 172.7
Formation energy from the elements, kJ per mole of atoms: -53.9

---

HfPtI2: relaxed, PBE-GGA.

extended XYZ file:
```
8
Lattice="6.653 0.000 0.000 0.000 6.653 0.000 3.327 3.327 5.606" Properties=species:S:1:pos:R:3 pbc="T T T"
I 5.085 1.663 1.401
I 1.568 4.990 1.401
I 4.990 4.895 4.204
I 8.316 8.412 4.204
Hf 3.327 3.327 0.000
Hf 3.327 6.653 2.803
Pt 0.000 0.000 0.000
Pt 6.653 3.327 2.803
```

Computed properties:
E_tot, eV per atom: -4.2921
Formation energy from raw total energies, meV per atom: 481
Calculated volume, Å³ per cell: 248.1
Excess energy over the best structure of this formula in the dataset, meV/atom: 198

---

BeNi5Ge: relaxed, PBE-GGA.

extended XYZ file:
```
14
Lattice="4.773 0.121 0.607 1.629 4.488 0.607 3.039 2.188 8.315" Properties=species:S:1:pos:R:3 pbc="T T T"
Be 0.000 0.000 0.000
Be 1.520 1.094 4.157
Ni 5.016 4.509 2.980
Ni 3.504 3.240 4.530
Ni 7.387 4.420 7.138
Ni 2.668 4.647 2.686
Ni 3.737 3.408 0.841
Ni 5.704 3.389 8.687
Ni 6.773 2.150 6.843
Ni 2.054 2.377 2.391
Ni 5.937 3.557 4.998
Ni 4.426 2.288 6.548
Ge 4.473 2.140 2.686
Ge 4.968 4.657 6.843
```

Computed properties:
E_tot, eV per atom: -5.3945
Calculated volume, Å³ per cell: 164.2
Formation energy from the elements, kJ per mole of atoms: -7.1

---

Th7AuC5: relaxed, PBE-GGA.

extended XYZ file:
```
26
Lattice="3.808 0.002 0.000 -1.901 6.318 0.008 0.000 -0.027 23.156" Properties=species:S:1:pos:R:3 pbc="T T T"
Th 0.001 6.191 5.796
Th 1.905 0.109 17.367
Th 1.905 1.733 0.762
Th 0.001 4.567 22.401
Th 0.001 4.578 12.343
Th 1.905 1.722 10.820
Th 0.002 2.276 3.820
Th 1.905 4.024 19.343
Th 1.905 4.028 15.400
Th 0.002 2.272 7.763
Th 1.906 5.234 2.366
Th 0.001 1.066 20.797
Th 0.001 1.074 13.939
Th 1.906 5.226 9.225
Au 1.904 3.858 5.793
Au 0.003 2.443 17.371
C 0.000 -0.023 23.156
C 1.908 2.796 21.485
C -0.002 3.504 1.678
C 1.904 0.674 8.314
C 0.002 5.627 14.849
C 0.000 -0.010 11.578
C -0.002 3.495 9.908
C 1.908 2.805 13.256
C 0.002 5.621 19.898
C 1.904 0.679 3.265
```

Computed properties:
E_tot, eV per atom: -8.1602
Calculated volume, Å³ per cell: 557.1
Formation energy from the elements, kJ per mole of atoms: -35.2

---

K2Ba2Ag: relaxed, PBE-GGA.

extended XYZ file:
```
10
Lattice="-6.142 -3.702 -5.276 6.033 -5.866 -2.907 -1.939 -4.771 5.604" Properties=species:S:1:pos:R:3 pbc="T T T"
K 2.029 -6.942 -0.039
K -0.073 -9.735 -3.145
K -4.076 -7.397 -2.539
K -1.975 -4.603 0.566
Ba 2.981 -6.074 -4.139
Ba -1.034 -7.007 -6.322
Ba -3.089 -3.494 -4.044
Ba 0.925 -2.561 -1.860
Ag 0.000 0.000 0.000
Ag -0.054 -4.784 -4.091
```

Computed properties:
E_tot, eV per atom: -1.6832
Calculated volume, Å³ per cell: 603.2
Formation energy from the elements, kJ per mole of atoms: 9.2
Excess energy over the best structure of this formula in the dataset, meV/atom: 0

---

Dy2Hg4Pb: relaxed, PBE-GGA.

extended XYZ file:
```
7
Lattice="4.938 0.000 1.543 2.228 4.407 1.543 0.109 0.067 8.324" Properties=species:S:1:pos:R:3 pbc="T T T"
Pb 0.000 0.000 0.000
Hg 6.204 3.816 6.162
Hg 1.070 0.658 5.247
Hg 4.135 2.543 4.113
Hg 3.140 1.931 7.297
Dy 5.279 3.247 9.123
Dy 1.996 1.227 2.286
```

Computed properties:
E_tot, eV per atom: -2.3197
Calculated volume, Å³ per cell: 180.1
Formation energy from the elements, kJ per mole of atoms: -29.2
Excess energy over the best structure of this formula in the dataset, meV/atom: 0

---

UCu5S6: relaxed, PBE-GGA.

extended XYZ file:
```
12
Lattice="-6.020 1.337 0.329 -2.487 -3.362 4.670 -0.187 2.242 5.722" Properties=species:S:1:pos:R:3 pbc="T T T"
U 0.000 0.000 0.000
Cu -3.474 1.886 5.001
Cu -0.866 -0.278 3.546
Cu -4.254 -1.012 2.499
Cu -1.809 -0.842 6.846
Cu -5.221 -1.669 5.719
S -4.618 1.542 2.480
S -3.167 -0.883 4.835
S -2.111 -0.667 1.431
S -6.397 -1.358 3.567
S -5.528 1.100 5.885
S -4.077 -1.324 8.240
```

Computed properties:
E_tot, eV per atom: -5.1472
Formation energy from raw total energies, meV per atom: -436
Calculated volume, Å³ per cell: 194.7